Entry 1:
Here is crystalline Hf2ZnTe2 at its relaxed geometry from OQMD via LeMat-Bulk. Energies are from GGA-PBE.

Cell: 7.927 7.927 7.927 Å, 148.14 148.14 45.68°
Sites, in units of the cell vectors:
Hf: 0.250 0.750 0.500
Hf: 0.750 0.250 0.500
Zn: 0.000 0.000 0.000
Te: 0.383 0.383 0.000
Te: 0.617 0.617 0.000

Calculated values
- Crystal system: tetragonal
- Calculated volume: 138.3 Å³ per cell
- Energy relative to the lowest polymorph listed for this composition: 0 meV per atom

Entry 2:
Here is crystalline Nd4Ge2Br3 at its relaxed geometry from OQMD via LeMat-Bulk. Energies are from GGA-PBE.

Cell: 4.298 4.298 17.921 Å, 90.25 90.25 59.99°
Sites, in units of the cell vectors:
Nd: 0.004 0.004 0.296
Nd: 0.335 0.335 0.115
Nd: 0.665 0.665 0.885
Nd: 0.996 0.996 0.704
Ge: 0.331 0.331 0.798
Ge: 0.669 0.669 0.202
Br: 0.000 0.000 0.000
Br: 0.338 0.338 0.396
Br: 0.662 0.662 0.604

Calculated values
- Uncorrected energy: -5.029 eV per atom
- Crystal system: monoclinic
- Calculated volume: 286.7 Å³ per cell

Entry 3:
Here is crystalline ZnBr at its relaxed geometry from OQMD via LeMat-Bulk. Energies are from GGA-PBE.

Cell: 4.189 4.189 4.189 Å, 57.40 57.40 57.40°
Sites, in units of the cell vectors:
Zn: 0.000 0.000 0.000
Br: 0.500 0.500 0.500

Calculated values
- Uncorrected energy: -1.610 eV per atom
- Crystal system: trigonal
- Calculated volume: 48.9 Å³ per cell

Entry 4:
Here is crystalline Mo4PSN2 at its relaxed geometry from OQMD via LeMat-Bulk. Energies are from GGA-PBE.

Cell: 3.021 3.021 12.417 Å, 90.00 90.00 120.00°
Sites, in units of the cell vectors:
Mo: 0.000 0.000 0.140
Mo: 0.000 0.000 0.860
Mo: 0.333 0.667 0.356
Mo: 0.333 0.667 0.644
P: 0.333 0.667 0.000
S: 0.000 0.000 0.500
N: 0.667 0.333 0.250
N: 0.667 0.333 0.750

Calculated values
- Uncorrected energy: -8.834 eV per atom
- Crystal system: hexagonal
- Calculated volume: 98.1 Å³ per cell

Entry 5:
Here is crystalline NpPaIn at its relaxed geometry from OQMD via LeMat-Bulk. Energies are from GGA-PBE.

Cell: 4.983 4.983 4.983 Å, 60.00 60.00 60.00°
Sites, in units of the cell vectors:
Np: 0.000 0.000 0.000
Pa: 0.750 0.750 0.750
In: 0.500 0.500 0.500

Calculated values
- Crystal system: cubic
- Calculated volume: 87.5 Å³ per cell
- Energy relative to the lowest polymorph listed for this composition: 0 meV per atom

Entry 6:
Here is crystalline ZnCl2 at its relaxed geometry from OQMD via LeMat-Bulk. Energies are from GGA-PBE.

Cell: 6.564 11.318 13.867 Å, 90.00 117.74 90.00°
Sites, in units of the cell vectors:
Zn: 0.140 0.001 0.309
Zn: 0.140 0.499 0.809
Zn: 0.265 0.677 0.430
Zn: 0.265 0.823 0.930
Zn: 0.354 0.664 0.185
Zn: 0.354 0.836 0.685
Zn: 0.646 0.164 0.315
Zn: 0.646 0.336 0.815
Zn: 0.735 0.177 0.070
Zn: 0.735 0.323 0.570
Zn: 0.860 0.501 0.191
Zn: 0.860 0.999 0.691
Cl: 0.025 0.662 0.870
Cl: 0.025 0.838 0.370
Cl: 0.036 0.163 0.376
Cl: 0.036 0.337 0.876
Cl: 0.048 0.507 0.377
Cl: 0.048 0.993 0.877
Cl: 0.447 0.672 0.618
Cl: 0.447 0.828 0.118
Cl: 0.462 0.172 0.128
Cl: 0.462 0.328 0.628
Cl: 0.470 0.002 0.628
Cl: 0.470 0.498 0.128
Cl: 0.530 0.502 0.872
Cl: 0.530 0.998 0.372
Cl: 0.538 0.672 0.372
Cl: 0.538 0.828 0.872
Cl: 0.553 0.172 0.882
Cl: 0.553 0.328 0.382
Cl: 0.952 0.007 0.123
Cl: 0.952 0.493 0.623
Cl: 0.964 0.663 0.124
Cl: 0.964 0.837 0.624
Cl: 0.975 0.162 0.630
Cl: 0.975 0.338 0.130

Calculated values
- Uncorrected energy: -2.787 eV per atom
- Crystal system: monoclinic
- Calculated volume: 911.8 Å³ per cell

Entry 7:
Here is crystalline KErB4 at its relaxed geometry from OQMD via LeMat-Bulk. Energies are from GGA-PBE.

Cell: 3.205 3.205 8.760 Å, 90.00 90.00 120.00°
Sites, in units of the cell vectors:
K: 0.000 0.000 0.000
Er: 0.000 0.000 0.500
B: 0.333 0.667 0.286
B: 0.333 0.667 0.714
B: 0.667 0.333 0.286
B: 0.667 0.333 0.714

Calculated values
- Crystal system: hexagonal
- Calculated volume: 77.9 Å³ per cell
- Energy relative to the lowest polymorph listed for this composition: 0 meV per atom

Entry 8:
Here is crystalline GdSiGe at its relaxed geometry from OQMD via LeMat-Bulk. Energies are from GGA-PBE.

Cell: 4.653 4.653 4.653 Å, 60.00 60.00 60.00°
Sites, in units of the cell vectors:
Gd: 0.000 0.000 0.000
Si: 0.250 0.250 0.250
Ge: 0.500 0.500 0.500

Calculated values
- Crystal system: cubic
- Calculated volume: 71.2 Å³ per cell
- Energy relative to the lowest polymorph listed for this composition: 0 meV per atom

Entry 9:
Here is crystalline KNaAsPd at its relaxed geometry from OQMD via LeMat-Bulk. Energies are from GGA-PBE.

Cell: 5.856 5.665 6.138 Å, 90.00 104.16 90.00°
Sites, in units of the cell vectors:
K: 0.036 0.250 0.170
K: 0.964 0.750 0.830
Na: 0.334 0.750 0.502
Na: 0.666 0.250 0.498
As: 0.254 0.250 0.709
As: 0.746 0.750 0.291
Pd: 0.500 0.000 0.000
Pd: 0.500 0.500 0.000

Calculated values
- Crystal system: monoclinic
- Calculated volume: 197.4 Å³ per cell
- Energy relative to the lowest polymorph listed for this composition: 0 meV per atom

Entry 10:
Here is crystalline SrSn2Au2 at its relaxed geometry from OQMD via LeMat-Bulk. Energies are from GGA-PBE.

Cell: 4.731 4.731 11.442 Å, 90.00 90.00 90.00°
Sites, in units of the cell vectors:
Sr: 0.250 0.250 0.241
Sr: 0.750 0.750 0.759
Sn: 0.250 0.250 0.873
Sn: 0.250 0.750 0.500
Sn: 0.750 0.250 0.500
Sn: 0.750 0.750 0.127
Au: 0.250 0.250 0.638
Au: 0.250 0.750 0.000
Au: 0.750 0.250 0.000
Au: 0.750 0.750 0.362

Calculated values
- Uncorrected energy: -3.805 eV per atom
- Crystal system: tetragonal
- Calculated volume: 256.1 Å³ per cell

Entry 11:
Here is crystalline Li2Mg2Zn2CuPt at its relaxed geometry from OQMD via LeMat-Bulk. Energies are from GGA-PBE.

Cell: 4.380 4.380 6.207 Å, 90.00 90.00 90.00°
Sites, in units of the cell vectors:
Li: 0.000 0.000 0.000
Li: 0.500 0.500 0.500
Mg: 0.000 0.500 0.749
Mg: 0.500 0.000 0.251
Zn: 0.000 0.500 0.253
Zn: 0.500 0.000 0.747
Cu: 0.000 0.000 0.500
Pt: 0.500 0.500 0.000

Calculated values
- Uncorrected energy: -2.781 eV per atom
- Crystal system: tetragonal
- Calculated volume: 119.1 Å³ per cell

Entry 12:
Here is crystalline DyPaTc at its relaxed geometry from OQMD via LeMat-Bulk. Energies are from GGA-PBE.

Cell: 4.648 4.648 4.648 Å, 60.00 60.00 60.00°
Sites, in units of the cell vectors:
Dy: 0.000 0.000 0.000
Pa: 0.750 0.750 0.750
Tc: 0.250 0.250 0.250

Calculated values
- Crystal system: cubic
- E_form: 88 kJ/mol of atoms
- Calculated volume: 71.0 Å³ per cell